1.
A geometry-optimized MoAsPS2 structure, computed with PBE.

Geometry as POSCAR:
```
MoAsPS2
1.0
4.660 0.000 0.000
0.000 4.660 0.000
0.000 0.000 4.684
Mo As P S
1 1 1 2
Direct
0.000 0.000 0.000
0.500 0.500 0.500
0.500 0.500 0.000
0.000 0.500 0.500
0.500 0.000 0.500
```

Calculated values
space-group type = P4/mmm (123)
formation energy from raw total energies = 1.075 eV per atom
spin magnetization = 2.55 μB/f.u.
energy = -4.754 eV per atom


2.
A geometry-optimized CrGaNiPd structure, computed with PBE.

Geometry as POSCAR:
```
CrGaNiPd
1.0
6.037 0.000 0.000
0.000 6.037 0.000
0.000 0.000 6.037
Cr Ga Ni Pd
4 4 4 4
Direct
0.000 0.000 0.000
0.000 0.500 0.500
0.500 0.000 0.500
0.500 0.500 0.000
0.000 0.000 0.500
0.000 0.500 0.000
0.500 0.000 0.000
0.500 0.500 0.500
0.250 0.250 0.250
0.250 0.750 0.750
0.750 0.250 0.750
0.750 0.750 0.250
0.250 0.250 0.750
0.250 0.750 0.250
0.750 0.250 0.250
0.750 0.750 0.750
```

Calculated values
space-group type = F-43m (216)
calculated formation energy = -0.1762 eV per atom
spin magnetization = 3.59 μB/f.u.
energy = -6.082 eV per atom